A plane-wave DFT calculation with GGA-PBE was carried out for a geometry-optimized CeSc2Hg structure.

Calculated values
The energy above the most stable polymorph in this dataset comes out at 101 meV per atom. The value obtained for the size of the total moment is 2.859 μB per cell. The calculation puts the density of states at the Fermi level at 1.990 states/eV/atom.

```
12
Lattice="3.3639 0.0000 0.0000 -1.6819 2.9132 0.0000 0.0000 0.0000 30.6197" Properties=species:S:1:pos:R:3 pbc="T T T"
Ce 0.0000 0.0000 0.0000
Ce 0.0000 1.9421 20.4131
Ce 1.6819 0.9711 10.2066
Sc 0.0000 0.0000 7.4609
Sc 0.0000 0.0000 12.9879
Sc 0.0000 1.9421 2.7813
Sc 0.0000 1.9421 27.8740
Sc 1.6819 0.9711 17.6675
Sc 1.6819 0.9711 23.1944
Hg 0.0000 0.0000 25.5406
Hg 0.0000 1.9421 15.3340
Hg 1.6819 0.9711 5.1274
```

=====

A plane-wave DFT calculation with GGA-PBE was carried out for a geometry-optimized CeScHg4 structure.

Calculated values
The energy above the most stable polymorph in this dataset comes out at 0 meV per atom. The value obtained for the size of the total moment is 3.039 μB per cell. The calculation puts the density of states at the Fermi level at 1.517 states/eV/atom.

```
12
Lattice="10.2301 0.0000 0.0000 0.0000 3.8103 0.0000 -2.7049 0.0000 7.6050" Properties=species:S:1:pos:R:3 pbc="T T T"
Ce 0.0000 0.0000 0.0000
Ce 5.1150 1.9051 0.0000
Sc -1.3524 0.0000 3.8025
Sc 3.7626 1.9051 3.8025
Hg -0.4982 1.9051 6.1362
Hg 0.7527 1.9051 2.6743
Hg 1.6574 0.0000 4.9306
Hg 2.9083 0.0000 1.4688
Hg 4.6168 0.0000 6.1362
Hg 5.8678 0.0000 2.6743
Hg 6.7724 1.9051 4.9306
Hg 8.0234 1.9051 1.4688
```

=====

A plane-wave DFT calculation with GGA-PBE was carried out for a geometry-optimized CeScHg4 structure.

Calculated values
The energy above the most stable polymorph in this dataset comes out at 172 meV per atom. The value obtained for the size of the total moment is 1.079 μB per cell. The calculation puts the density of states at the Fermi level at 1.722 states/eV/atom.

```
6
Lattice="4.7403 0.0000 0.0000 -0.0009 4.7472 0.0000 -0.0120 -0.0273 7.6459" Properties=species:S:1:pos:R:3 pbc="T T T"
Ce 0.0000 0.0000 0.0000
Sc 2.3637 2.3600 3.8230
Hg -0.0072 2.3474 5.5201
Hg 4.7347 2.3725 2.1258
Hg 2.3587 -0.0130 5.5157
Hg 2.3687 4.7329 2.1302
```

=====

A plane-wave DFT calculation with GGA-PBE was carried out for a geometry-optimized CeSc2Hg structure.

Calculated values
The energy above the most stable polymorph in this dataset comes out at 0 meV per atom. The value obtained for the size of the total moment is 0.170 μB per cell. The calculation puts the density of states at the Fermi level at 1.375 states/eV/atom.

```
4
Lattice="3.4503 0.0000 0.0000 0.0000 3.4503 0.0000 0.0000 0.0000 8.0054" Properties=species:S:1:pos:R:3 pbc="T T T"
Ce 0.0000 0.0000 0.0000
Sc 1.7252 1.7252 2.1833
Sc 1.7252 1.7252 5.8221
Hg 0.0000 0.0000 4.0027
```

=====

A plane-wave DFT calculation with GGA-PBE was carried out for a geometry-optimized Ce5ScHg6 structure.

Calculated values
The value obtained for the size of the total moment is 6.699 μB per cell. For the total energy, the calculation gives -0.1272 hartree per atom. The calculation puts the density of states at the Fermi level at 3.121 states/eV/atom.

```
12
Lattice="8.2185 -3.9280 0.0000 8.2185 3.9280 0.0000 -1.6259 0.0000 4.9382" Properties=species:S:1:pos:R:3 pbc="T T T"
Ce 0.0000 0.0000 0.0000
Ce 1.4879 0.0000 3.2327
Ce 4.6268 0.0000 1.5497
Ce 10.1842 0.0000 3.3886
Ce 13.3231 0.0000 1.7055
Sc 8.2185 0.0000 0.0000
Hg 4.2864 1.7741 4.1742
Hg 7.4055 1.6393 2.4691
Hg 10.5246 1.7741 0.7640
Hg 4.2864 -1.7741 4.1742
Hg 7.4055 -1.6393 2.4691
Hg 10.5246 -1.7741 0.7640
```

=====

A plane-wave DFT calculation with GGA-PBE was carried out for a geometry-optimized CeSc2Hg structure.

Calculated values
The energy above the most stable polymorph in this dataset comes out at 76 meV per atom. The value obtained for the size of the total moment is 0.533 μB per cell. The calculation puts the density of states at the Fermi level at 1.517 states/eV/atom.

```
12
Lattice="3.3581 0.0000 0.0000 -1.6790 2.9082 0.0000 0.0000 0.0000 30.1792" Properties=species:S:1:pos:R:3 pbc="T T T"
Ce 0.0000 0.0000 0.0000
Ce 0.0000 1.9388 20.1195
Ce 1.6790 0.9694 10.0597
Sc 0.0000 0.0000 7.3881
Sc 0.0000 0.0000 22.7911
Sc 0.0000 1.9388 12.7313
Sc 0.0000 1.9388 27.5076
Sc 1.6790 0.9694 2.6716
Sc 1.6790 0.9694 17.4479
Hg 0.0000 0.0000 15.0896
Hg 0.0000 1.9388 5.0299
Hg 1.6790 0.9694 25.1493
```

=====

A plane-wave DFT calculation with GGA-PBE was carried out for a geometry-optimized CeScHg structure.

Calculated values
The energy above the most stable polymorph in this dataset comes out at 3 meV per atom. The value obtained for the size of the total moment is 1.929 μB per cell. The calculation puts the density of states at the Fermi level at 1.852 states/eV/atom.

```
6
Lattice="4.9991 0.0000 0.0000 -2.4995 4.3293 0.0000 0.0000 0.0000 6.8723" Properties=species:S:1:pos:R:3 pbc="T T T"
Ce 0.0000 0.0000 0.0000
Ce 0.0000 2.8862 1.1643
Sc 0.0000 2.8862 4.6576
Sc 2.4995 1.4431 2.9738
Hg 0.0000 0.0000 3.2247
Hg 2.4995 1.4431 5.9633
```

=====

A plane-wave DFT calculation with GGA-PBE was carried out for a geometry-optimized CeSc2Hg3 structure.

Calculated values
The value obtained for the size of the total moment is 1.476 μB per cell. For the total energy, the calculation gives -0.1335 hartree per atom. The calculation puts the density of states at the Fermi level at 1.840 states/eV/atom.

```
6
Lattice="3.5108 0.0000 0.0000 0.0000 3.5108 0.0000 0.0000 0.0000 11.5022" Properties=species:S:1:pos:R:3 pbc="T T T"
Ce 0.0000 0.0000 0.0000
Sc 0.0000 0.0000 3.9874
Sc 0.0000 0.0000 7.5148
Hg 1.7554 1.7554 2.2466
Hg 1.7554 1.7554 5.7511
Hg 1.7554 1.7554 9.2556
```

=====

A plane-wave DFT calculation with GGA-PBE was carried out for a geometry-optimized CeScHg structure.

Calculated values
The energy above the most stable polymorph in this dataset comes out at 13 meV per atom. The value obtained for the size of the total moment is 2.231 μB per cell. The calculation puts the density of states at the Fermi level at 2.312 states/eV/atom.

```
6
Lattice="3.4024 0.0000 0.0000 0.0000 3.4024 0.0000 0.0000 0.0000 13.2025" Properties=species:S:1:pos:R:3 pbc="T T T"
Ce 0.0000 0.0000 0.0000
Ce 1.7012 1.7012 6.6012
Sc 0.0000 0.0000 9.0327
Sc 1.7012 1.7012 2.4315
Hg 0.0000 0.0000 4.2315
Hg 1.7012 1.7012 10.8328
```

=====

A plane-wave DFT calculation with GGA-PBE was carried out for a geometry-optimized CeSc2Hg structure.

Calculated values
The energy above the most stable polymorph in this dataset comes out at 76 meV per atom. The value obtained for the size of the total moment is 1.780 μB per cell. The calculation puts the density of states at the Fermi level at 1.690 states/eV/atom.

```
4
Lattice="4.6694 0.0000 0.0000 0.0000 4.6694 0.0000 0.0000 0.0000 4.4816" Properties=species:S:1:pos:R:3 pbc="T T T"
Ce 0.0000 0.0000 0.0000
Sc 0.0000 2.3347 2.2408
Sc 2.3347 0.0000 2.2408
Hg 2.3347 2.3347 0.0000
```

=====

A plane-wave DFT calculation with GGA-PBE was carried out for a geometry-optimized CeScHg4 structure.

Calculated values
The energy above the most stable polymorph in this dataset comes out at 132 meV per atom. The value obtained for the size of the total moment is 1.370 μB per cell. The calculation puts the density of states at the Fermi level at 1.839 states/eV/atom.

```
6
Lattice="0.0000 4.1938 4.1938 4.1938 0.0000 4.1938 4.1938 4.1938 0.0000" Properties=species:S:1:pos:R:3 pbc="T T T"
Ce 0.0000 0.0000 0.0000
Sc 2.0969 2.0969 2.0969
Hg 5.2408 3.1467 3.1467
Hg 3.1467 5.2408 3.1467
Hg 3.1467 3.1467 5.2408
Hg 5.2408 5.2408 5.2408
```

=====

A plane-wave DFT calculation with GGA-PBE was carried out for a geometry-optimized CeScTcHg structure.

Calculated values
The value obtained for the size of the total moment is 0.000 μB per cell. For the total energy, the calculation gives -0.2149 hartree per atom. The calculation puts the density of states at the Fermi level at 1.253 states/eV/atom.

```
16
Lattice="7.0175 0.0000 0.0000 0.0000 7.0175 0.0000 0.0000 0.0000 7.0175" Properties=species:S:1:pos:R:3 pbc="T T T"
Ce 0.0000 0.0000 0.0000
Ce 0.0000 3.5087 3.5087
Ce 3.5087 0.0000 3.5087
Ce 3.5087 3.5087 0.0000
Sc 0.0000 0.0000 3.5087
Sc 0.0000 3.5087 0.0000
Sc 3.5087 0.0000 0.0000
Sc 3.5087 3.5087 3.5087
Tc 1.7544 1.7544 5.2631
Tc 1.7544 5.2631 1.7544
Tc 5.2631 1.7544 1.7544
Tc 5.2631 5.2631 5.2631
Hg 1.7544 1.7544 1.7544
Hg 1.7544 5.2631 5.2631
Hg 5.2631 1.7544 5.2631
Hg 5.2631 5.2631 1.7544
```